[1]
A plane-wave DFT calculation with PBE was carried out for crystalline Cd3As at its relaxed geometry.

Density of states at the Fermi level: 0.258 states/eV/atom
Formation energy: 0.040 eV per atom
Excess energy over the best structure of this formula in the dataset: 20 meV/atom
Uncorrected energy: -0.0665 hartree per atom
Size of the total moment: 0.00 Bohr magnetons per cell
SG: Pnma (62)

Cell: 6.2665 6.9199 8.6090 Å, 90.00 90.00 90.00°
Sites, in units of the cell vectors:
As 0.4977 0.8639 0.7500
As 0.9977 0.6361 0.2500
As 0.0023 0.3639 0.7500
As 0.5023 0.1361 0.2500
Cd 0.0176 0.7748 0.7500
Cd 0.5176 0.7252 0.2500
Cd 0.4824 0.2748 0.7500
Cd 0.9824 0.2252 0.2500
Cd 0.7697 0.0080 0.9896
Cd 0.2697 0.4920 0.0104
Cd 0.7303 0.5080 0.5104
Cd 0.2303 0.9920 0.4896
Cd 0.2303 0.9920 0.0104
Cd 0.7303 0.5080 0.9896
Cd 0.2697 0.4920 0.4896
Cd 0.7697 0.0080 0.5104

---

[2]
A plane-wave DFT calculation with PBE was carried out for crystalline Cd3As at its relaxed geometry.

Density of states at the Fermi level: 0.350 states/eV/atom
Formation energy: 0.085 eV per atom
Excess energy over the best structure of this formula in the dataset: 65 meV/atom
Uncorrected energy: -0.0648 hartree per atom
Size of the total moment: 0.00 Bohr magnetons per cell
SG: P4mm (99)

Cell: 4.3408 4.3402 4.8513 Å, 90.00 90.00 90.00°
Sites, in units of the cell vectors:
As 0.5000 0.0000 0.6759
Cd 0.0000 0.0000 0.0690
Cd 0.0000 0.5000 0.5193
Cd 0.5000 0.5000 0.0691

---

[3]
A plane-wave DFT calculation with PBE was carried out for crystalline Cd2As at its relaxed geometry.

Density of states at the Fermi level: 0.368 states/eV/atom
Formation energy: 0.020 eV per atom
Excess energy over the best structure of this formula in the dataset: 19 meV/atom
Uncorrected energy: -0.0787 hartree per atom
Size of the total moment: 0.00 Bohr magnetons per cell
SG: Cmce (64)

Cell: 4.4525 7.6061 4.4525 Å, 90.00 107.06 90.00°
Sites, in units of the cell vectors:
As 0.7501 0.4016 0.2500
As 0.2499 0.9016 0.7500
Cd 0.3904 0.2600 0.6096
Cd 0.6096 0.7600 0.3904
Cd 0.1097 0.5434 0.8903
Cd 0.8903 0.0434 0.1097

---

[4]
A plane-wave DFT calculation with PBE was carried out for crystalline CdAs4 at its relaxed geometry.

Density of states at the Fermi level: 0.447 states/eV/atom
Formation energy: 0.153 eV per atom
Uncorrected energy: -0.1378 hartree per atom
Size of the total moment: 0.00 Bohr magnetons per cell
SG: I4/m (87)

Cell: 6.2847 6.2847 6.2847 Å, 94.67 94.67 146.86°
Sites, in units of the cell vectors:
Cd 0.0000 0.0000 0.0000
As 0.1580 0.7145 0.8725
As 0.7145 0.8420 0.5565
As 0.8420 0.2855 0.1275
As 0.2855 0.1580 0.4435

---

[5]
A plane-wave DFT calculation with PBE was carried out for crystalline CdAs2 at its relaxed geometry.

Density of states at the Fermi level: 0.385 states/eV/atom
Formation energy: 0.067 eV per atom
Uncorrected energy: -0.1227 hartree per atom
Size of the total moment: 0.00 Bohr magnetons per cell
SG: Cmcm (63)

Cell: 6.8402 6.8402 5.6583 Å, 90.00 90.00 148.81°
Sites, in units of the cell vectors:
Cd 0.3265 0.6735 0.7500
Cd 0.6735 0.3265 0.2500
As 0.6383 0.3617 0.7500
As 0.0060 0.9940 0.7500
As 0.9940 0.0060 0.2500
As 0.3617 0.6383 0.2500

---

[6]
A plane-wave DFT calculation with PBE was carried out for crystalline Cd3As5 at its relaxed geometry.

Density of states at the Fermi level: 0.670 states/eV/atom
Formation energy: 0.272 eV per atom
Excess energy over the best structure of this formula in the dataset: 42 meV/atom
Uncorrected energy: -0.1094 hartree per atom
Size of the total moment: 0.00 Bohr magnetons per cell
SG: Cmmm (65)

Cell: 5.7975 5.7975 5.1685 Å, 90.00 90.00 91.09°
Sites, in units of the cell vectors:
Cd 0.5000 0.5000 0.0000
Cd 0.6833 0.3167 0.5000
Cd 0.3167 0.6833 0.5000
As 0.0000 0.0000 0.0000
As 0.0000 0.5000 0.0000
As 0.5000 0.0000 0.0000
As 0.1538 0.1538 0.5000
As 0.8462 0.8462 0.5000

---

[7]
A plane-wave DFT calculation with PBE was carried out for crystalline CdAs2 at its relaxed geometry.

Density of states at the Fermi level: 0.727 states/eV/atom
Formation energy: 0.163 eV per atom
Uncorrected energy: -0.1191 hartree per atom
Size of the total moment: 0.00 Bohr magnetons per cell
SG: Pa-3 (205)

Cell: 6.6447 6.6447 6.6447 Å, 90.00 90.00 90.00°
Sites, in units of the cell vectors:
As 0.6021 0.6021 0.3979
As 0.3979 0.3979 0.6021
As 0.1021 0.8979 0.6021
As 0.8979 0.1021 0.3979
As 0.3979 0.1021 0.1021
As 0.6021 0.8979 0.8979
As 0.8979 0.3979 0.8979
As 0.1021 0.6021 0.1021
Cd 0.0000 0.0000 0.0000
Cd 0.5000 0.5000 0.0000
Cd 0.5000 0.0000 0.5000
Cd 0.0000 0.5000 0.5000

---

[8]
A plane-wave DFT calculation with PBE was carried out for crystalline Cd3As at its relaxed geometry.

Density of states at the Fermi level: 0.403 states/eV/atom
Formation energy: 0.101 eV per atom
Excess energy over the best structure of this formula in the dataset: 81 meV/atom
Uncorrected energy: -0.0642 hartree per atom
Size of the total moment: 0.00 Bohr magnetons per cell
SG: P4/mmm (123)

Cell: 3.9867 3.9867 5.7463 Å, 90.00 90.00 90.00°
Sites, in units of the cell vectors:
As 0.0000 0.0000 0.0000
Cd 0.5000 0.5000 0.2444
Cd 0.0000 0.0000 0.5000
Cd 0.5000 0.5000 0.7556

---

[9]
A plane-wave DFT calculation with PBE was carried out for crystalline Cd8As5 at its relaxed geometry.

Density of states at the Fermi level: 0.280 states/eV/atom
Formation energy: 0.019 eV per atom
Uncorrected energy: -0.0857 hartree per atom
Size of the total moment: 0.00 Bohr magnetons per cell
SG: C2/m (12)

Cell: 8.4201 8.4201 6.9162 Å, 109.50 107.71 118.42°
Sites, in units of the cell vectors:
Cd 0.2799 0.9166 0.1965
Cd 0.7201 0.0834 0.8035
Cd 0.8127 0.4157 0.2284
Cd 0.1873 0.5843 0.7716
Cd 0.8455 0.0039 0.2988
Cd 0.7051 0.5466 0.7012
Cd 0.2949 0.4534 0.2988
Cd 0.1545 0.9961 0.7012
As 0.0000 0.0000 0.0000
As 0.7323 0.2323 0.5000
As 0.2677 0.7677 0.5000
As 0.6257 0.6052 0.2309
As 0.3743 0.3948 0.7691

---

[10]
A plane-wave DFT calculation with PBE was carried out for crystalline Cd2As at its relaxed geometry.

Density of states at the Fermi level: 0.305 states/eV/atom
Formation energy: 0.020 eV per atom
Excess energy over the best structure of this formula in the dataset: 19 meV/atom
Uncorrected energy: -0.0787 hartree per atom
Size of the total moment: 0.00 Bohr magnetons per cell
SG: Pnnm (58)

Cell: 4.3399 6.1612 5.8009 Å, 90.00 90.00 90.00°
Sites, in units of the cell vectors:
Cd 0.0000 0.2213 0.5699
Cd 0.0000 0.7787 0.4301
Cd 0.5000 0.7213 0.9301
Cd 0.5000 0.2787 0.0699
As 0.0000 0.0000 0.0000
As 0.5000 0.5000 0.5000

---

[11]
A plane-wave DFT calculation with PBE was carried out for crystalline CdAs2 at its relaxed geometry.

Density of states at the Fermi level: 0.171 states/eV/atom
Formation energy: 0.306 eV per atom
Uncorrected energy: -0.1139 hartree per atom
Size of the total moment: 0.00 Bohr magnetons per cell
SG: Fm-3m (225)

Cell: 4.6578 4.6578 4.6578 Å, 60.00 60.00 60.00°
Sites, in units of the cell vectors:
As 0.7500 0.7500 0.7500
As 0.2500 0.2500 0.2500
Cd 0.0000 0.0000 0.0000

---

[12]
A plane-wave DFT calculation with PBE was carried out for crystalline Cd2As at its relaxed geometry.

Density of states at the Fermi level: 0.387 states/eV/atom
Formation energy: 0.070 eV per atom
Excess energy over the best structure of this formula in the dataset: 70 meV/atom
Uncorrected energy: -0.0768 hartree per atom
Size of the total moment: 0.00 Bohr magnetons per cell
SG: Cm (8)

Cell: 7.2827 7.2827 6.9112 Å, 74.07 74.07 24.44°
Sites, in units of the cell vectors:
Cd 0.6585 0.6585 0.5578
Cd 0.5084 0.5084 0.3131
Cd 0.9600 0.9600 0.7169
Cd 0.2911 0.2911 0.9576
As 0.1013 0.1013 0.9563
As 0.3139 0.3139 0.3316

---

[13]
A plane-wave DFT calculation with PBE was carried out for crystalline Cd5As at its relaxed geometry.

Density of states at the Fermi level: 0.485 states/eV/atom
Formation energy: 0.257 eV per atom
Excess energy over the best structure of this formula in the dataset: 201 meV/atom
Uncorrected energy: -0.0470 hartree per atom
Size of the total moment: 0.00 Bohr magnetons per cell
SG: P6/mmm (191)

Cell: 5.6608 5.6608 5.2740 Å, 90.00 90.00 120.00°
Sites, in units of the cell vectors:
Cd 0.3333 0.6667 0.0000
Cd 0.6667 0.3333 0.0000
Cd 0.5000 0.0000 0.5000
Cd 0.0000 0.5000 0.5000
Cd 0.5000 0.5000 0.5000
As 0.0000 0.0000 0.0000

---

[14]
A plane-wave DFT calculation with PBE was carried out for crystalline CdAs2 at its relaxed geometry.

Density of states at the Fermi level: 0.240 states/eV/atom
Formation energy: 0.079 eV per atom
Uncorrected energy: -0.1222 hartree per atom
Size of the total moment: 0.00 Bohr magnetons per cell
SG: C2/m (12)

Cell: 6.2892 6.2892 6.1379 Å, 71.79 71.79 38.54°
Sites, in units of the cell vectors:
Cd 0.3626 0.3626 0.4762
Cd 0.6374 0.6374 0.5238
As 0.7877 0.7877 0.8427
As 0.9966 0.9966 0.2033
As 0.0034 0.0034 0.7967
As 0.2123 0.2123 0.1573

---

[15]
A plane-wave DFT calculation with PBE was carried out for crystalline CdAs2 at its relaxed geometry.

Density of states at the Fermi level: 0.334 states/eV/atom
Formation energy: 0.269 eV per atom
Uncorrected energy: -0.1152 hartree per atom
Size of the total moment: 0.00 Bohr magnetons per cell
SG: Immm (71)

Cell: 5.8235 5.8235 5.8235 Å, 152.29 128.04 59.90°
Sites, in units of the cell vectors:
As 0.6237 0.6237 0.0000
As 0.3763 0.3763 0.0000
Cd 0.0000 0.0000 0.0000

---

[16]
A plane-wave DFT calculation with PBE was carried out for crystalline Cd2As at its relaxed geometry.

Density of states at the Fermi level: 0.657 states/eV/atom
Formation energy: 0.033 eV per atom
Excess energy over the best structure of this formula in the dataset: 32 meV/atom
Uncorrected energy: -0.0782 hartree per atom
Size of the total moment: 0.00 Bohr magnetons per cell
SG: Fm-3m (225)

Cell: 4.7606 4.7606 4.7606 Å, 60.00 60.00 60.00°
Sites, in units of the cell vectors:
As 0.0000 0.0000 0.0000
Cd 0.7500 0.7500 0.7500
Cd 0.2500 0.2500 0.2500

---

[17]
A plane-wave DFT calculation with PBE was carried out for crystalline CdAs2 at its relaxed geometry.

Density of states at the Fermi level: 0.418 states/eV/atom
Formation energy: 0.240 eV per atom
Uncorrected energy: -0.1163 hartree per atom
Size of the total moment: 0.00 Bohr magnetons per cell
SG: P6/mmm (191)

Cell: 5.0113 5.0113 2.8839 Å, 90.00 90.00 120.00°
Sites, in units of the cell vectors:
As 0.6667 0.3333 0.5002
As 0.3333 0.6667 0.4998
Cd 0.0000 0.0000 0.0000

---

[18]
A plane-wave DFT calculation with PBE was carried out for crystalline Cd3As at its relaxed geometry.

Density of states at the Fermi level: 0.272 states/eV/atom
Formation energy: 0.100 eV per atom
Excess energy over the best structure of this formula in the dataset: 80 meV/atom
Uncorrected energy: -0.0643 hartree per atom
Size of the total moment: 0.00 Bohr magnetons per cell
SG: Pm-3n (223)

Cell: 5.6757 5.6757 5.6757 Å, 90.00 90.00 90.00°
Sites, in units of the cell vectors:
Cd 0.7500 0.5000 0.0000
Cd 0.2500 0.5000 0.0000
Cd 0.0000 0.7500 0.5000
Cd 0.0000 0.2500 0.5000
Cd 0.5000 0.0000 0.2500
Cd 0.5000 0.0000 0.7500
As 0.0000 0.0000 0.0000
As 0.5000 0.5000 0.5000

---

[19]
A plane-wave DFT calculation with PBE was carried out for crystalline CdAs2 at its relaxed geometry.

Density of states at the Fermi level: 0.492 states/eV/atom
Formation energy: 0.307 eV per atom
Uncorrected energy: -0.1138 hartree per atom
Size of the total moment: 0.00 Bohr magnetons per cell
SG: P6_3/mmc (194)

Cell: 6.2044 6.2044 7.9864 Å, 90.00 90.00 120.00°
Sites, in units of the cell vectors:
As 0.0000 0.0000 0.0000
As 0.0000 0.0000 0.5000
As 0.8162 0.6324 0.2500
As 0.1838 0.3676 0.7500
As 0.3676 0.1838 0.2500
As 0.8162 0.1838 0.2500
As 0.1838 0.8162 0.7500
As 0.6324 0.8162 0.7500
Cd 0.3333 0.6667 0.0731
Cd 0.6667 0.3333 0.5731
Cd 0.6667 0.3333 0.9269
Cd 0.3333 0.6667 0.4269

---

[20]
A plane-wave DFT calculation with PBE was carried out for crystalline Cd4As3 at its relaxed geometry.

Density of states at the Fermi level: 0.341 states/eV/atom
Formation energy: 0.054 eV per atom
Excess energy over the best structure of this formula in the dataset: 0 meV/atom
Uncorrected energy: -0.0905 hartree per atom
Size of the total moment: 0.00 Bohr magnetons per cell
SG: I4/mmm (139)

Cell: 11.8152 11.8152 11.8152 Å, 161.23 161.23 26.67°
Sites, in units of the cell vectors:
Cd 0.8073 0.8073 0.0000
Cd 0.1927 0.1927 0.0000
Cd 0.5616 0.5616 0.0000
Cd 0.4384 0.4384 0.0000
As 0.0000 0.0000 0.0000
As 0.6766 0.6766 0.0000
As 0.3234 0.3234 0.0000